Record 1
Ta3BiC: relaxed, PBE.

Unit cell a=4.4013 b=4.4013 c=4.4013 alpha=90.00 beta=90.00 gamma=90.00
Fractional positions:
1 C 0.0000 0.0000 0.0000
2 Ta 0.5000 0.0000 0.0000
3 Bi 0.5000 0.5000 0.5000
4 Ta 0.0000 0.5000 0.0000
5 Ta 0.0000 0.0000 0.5000

## Properties
**SG**: Pm-3m (221)
**Relative energy among the computed polymorphs**: 0.0000 eV per atom
**VASP energy**: -47.38 eV per cell
**Total magnetization**: 0.0 Bohr magnetons per cell

Record 2
TaBiC3: relaxed, PBE.

Unit cell a=4.2790 b=4.2790 c=4.2790 alpha=90.00 beta=90.00 gamma=90.00
Fractional positions:
1 C 0.5000 0.0000 0.0000
2 Bi 0.0000 0.0000 0.0000
3 Ta 0.5000 0.5000 0.5000
4 C 0.0000 0.5000 0.0000
5 C 0.0000 0.0000 0.5000

## Properties
**SG**: Pm-3m (221)
**Relative energy among the computed polymorphs**: 1.7219 eV per atom
**VASP energy**: -26.53 eV per cell
**Total magnetization**: 0.0 Bohr magnetons per cell

Record 3
Ta2BiC: relaxed, PBE.

Unit cell a=5.4294 b=5.4294 c=6.9739 alpha=67.09 beta=67.09 gamma=90.00
Fractional positions:
1 C 0.5000 0.5000 0.0000
2 Ta 0.8750 0.7375 0.7500
3 Bi 0.7500 0.2500 0.5000
4 C 0.2500 0.7500 0.5000
5 Ta 0.2625 0.6250 0.2500
6 Ta 0.4875 0.1250 0.2500
7 Bi 0.0000 0.0000 0.0000
8 Ta 0.3750 0.5125 0.7500

## Properties
**SG**: I-42d (122)
**VASP energy**: -68.96 eV per cell
**Total magnetization**: 0.0 Bohr magnetons per cell

Record 4
TaBi2C4: relaxed, PBE.

Unit cell a=4.2134 b=4.2134 c=7.1962 alpha=72.98 beta=72.98 gamma=90.00
Fractional positions:
1 C 0.1664 0.1664 0.6672
2 Bi 0.3433 0.3433 0.3133
3 C 0.0000 0.5000 0.0000
4 Ta 0.0000 0.0000 0.0000
5 C 0.5000 0.0000 0.0000
6 Bi 0.6567 0.6567 0.6867
7 C 0.8336 0.8336 0.3328

## Properties
**SG**: I4/mmm (139)
**VASP energy**: -44.24 eV per cell
**Total magnetization**: 0.0 Bohr magnetons per cell

Record 5
TaBiC2: relaxed, PBE.

Unit cell a=5.3377 b=5.3377 c=6.2940 alpha=64.91 beta=64.91 gamma=90.00
Fractional positions:
1 Bi 0.0000 0.0000 0.0000
2 Ta 0.2500 0.7500 0.5000
3 Ta 0.5000 0.5000 0.0000
4 C 0.8750 0.8051 0.7500
5 C 0.5551 0.1250 0.2500
6 C 0.1949 0.6250 0.2500
7 Bi 0.7500 0.2500 0.5000
8 C 0.3750 0.4449 0.7500

## Properties
**SG**: I-42d (122)
**VASP energy**: -62.24 eV per cell
**Total magnetization**: 0.0 Bohr magnetons per cell

Record 6
Ta3BiC: relaxed, PBE.

Unit cell a=5.1443 b=5.1443 c=5.1443 alpha=90.00 beta=90.00 gamma=90.00
Fractional positions:
1 Ta 0.0000 0.5000 0.0000
2 C 0.5000 0.5000 0.5000
3 Bi 0.0000 0.0000 0.0000
4 Ta 0.0000 0.0000 0.5000
5 Ta 0.5000 0.0000 0.0000

## Properties
**SG**: Pm-3m (221)
**Relative energy among the computed polymorphs**: 3.4944 eV per atom
**VASP energy**: -29.90 eV per cell
**Total magnetization**: 0.0 Bohr magnetons per cell

Look up the total magnetization of the first one.
0.0 Bohr magnetons per cell

What is the total magnetization in the fifth record?
0.0 Bohr magnetons per cell